No. 1
# ZrTc3Ag

A relaxed ZrTc3Ag crystal (PBE, the Alexandria database).

The value obtained for the formation enthalpy at 0 K is 2.08 eV per atom. Its total moment is 0.7734 μB/atom. Its calculated volume is 107 Å³/f.u. The value obtained for the excess energy over the best structure of this formula in the dataset is 129.4 meV/atom. The calculation puts the total energy at -32.1 eV for the cell shown.

The structure belongs to space group Pm-3m (No. 221); the cell edges are 4.7485, 4.7485 and 4.7485 Å and the angles 90.00°, 90.00° and 90.00°. The inequivalent atoms are Zr at (0.0000, 0.0000, 0.0000), Tc at (0.0000, 0.5000, 0.5000) and Ag at (0.5000, 0.5000, 0.5000).

=====

No. 2
# ZrTcAg

A relaxed ZrTcAg crystal (PBE, the Alexandria database).

The value obtained for the formation enthalpy at 0 K is 0.06 eV per atom. Its total moment is 0.0000 μB/atom. Its calculated volume is 56 Å³/f.u. The value obtained for the excess energy over the best structure of this formula in the dataset is 37.1 meV/atom. The calculation puts the total energy at -86.3 eV for the cell shown.

The structure belongs to space group Cm (No. 8); the cell edges are 10.8816, 3.2594 and 6.7046 Å and the angles 90.00°, 110.16° and 90.00°. The inequivalent atoms are Zr at (0.0000, 0.0000, 0.0000), Zr at (0.1881, 0.5000, 0.8134), Tc at (0.1732, 0.5000, 0.2662), Tc at (0.3146, 0.0000, 0.1423), Ag at (0.0140, 0.0000, 0.4570) and Ag at (0.3502, 0.0000, 0.6083).

=====

No. 3
# ZrTc2Ag

A relaxed ZrTc2Ag crystal (PBE, the Alexandria database).

The value obtained for the formation enthalpy at 0 K is 0.13 eV per atom. Its total moment is 0.0000 μB/atom. Its calculated volume is 69 Å³/f.u. The value obtained for the excess energy over the best structure of this formula in the dataset is 64.9 meV/atom. The calculation puts the total energy at -31.6 eV for the cell shown.

The structure belongs to space group Pmm2 (No. 25); the cell edges are 2.9497, 3.9382 and 5.9160 Å and the angles 90.00°, 90.00° and 90.00°. The inequivalent atoms are Zr at (0.0000, 0.0000, 0.0000), Tc at (0.0000, 0.0000, 0.5515), Tc at (0.5000, 0.5000, 0.7366) and Ag at (0.5000, 0.5000, 0.2724).

=====

No. 4
# Zr5Tc4Ag

A relaxed Zr5Tc4Ag crystal (PBE, the Alexandria database).

The value obtained for the formation enthalpy at 0 K is -0.32 eV per atom. Its total moment is 0.0000 μB/atom. Its calculated volume is 185 Å³/f.u. The calculation puts the total energy at -90.3 eV for the cell shown.

The structure belongs to space group P4/mmm (No. 123); the cell edges are 3.3085, 3.3085 and 16.9134 Å and the angles 90.00°, 90.00° and 90.00°. The inequivalent atoms are Zr at (0.0000, 0.0000, 0.0000), Zr at (0.0000, 0.0000, 0.1932), Zr at (0.0000, 0.0000, 0.3837), Tc at (0.5000, 0.5000, 0.0978), Tc at (0.5000, 0.5000, 0.2952) and Ag at (0.5000, 0.5000, 0.5000).

=====

No. 5
# ZrTcAg

A relaxed ZrTcAg crystal (PBE, the Alexandria database).

The value obtained for the formation enthalpy at 0 K is 0.07 eV per atom. Its total moment is 0.0000 μB/atom. Its calculated volume is 57 Å³/f.u. The value obtained for the excess energy over the best structure of this formula in the dataset is 48.0 meV/atom. The calculation puts the total energy at -86.2 eV for the cell shown.

The structure belongs to space group Cm (No. 8); the cell edges are 9.2122, 4.4237 and 5.5965 Å and the angles 90.00°, 96.61° and 90.00°. The inequivalent atoms are Zr at (0.0000, 0.0000, 0.0000), Zr at (0.0969, 0.5000, 0.4943), Tc at (0.3276, 0.0000, 0.2619), Tc at (0.3897, 0.5000, 0.4523), Ag at (0.1881, 0.5000, 0.0037) and Ag at (0.3039, 0.0000, 0.7546).

=====

No. 6
# ZrTcAg

A relaxed ZrTcAg crystal (PBE, the Alexandria database).

The value obtained for the formation enthalpy at 0 K is 0.19 eV per atom. Its total moment is 0.0000 μB/atom. Its calculated volume is 55 Å³/f.u. The value obtained for the excess energy over the best structure of this formula in the dataset is 159.7 meV/atom. The calculation puts the total energy at -84.8 eV for the cell shown.

The structure belongs to space group Fmm2 (No. 42); the cell edges are 3.4356, 4.6886 and 13.5459 Å and the angles 90.00°, 90.00° and 90.00°. The inequivalent atoms are Zr at (0.0000, 0.0000, 0.0000), Tc at (0.0000, 0.0000, 0.3489) and Ag at (0.0000, 0.0000, 0.6812).